A geometry-optimized HoTm2Lu structure, computed with PBE.

a b c (Å): 3.4813 3.4813 9.8646
angles (deg): 90.00 90.00 90.00
Last column: nearest neighbours and their distance in Å.
Fractional positions:
Tm  0.0000  0.0000  0.7518  4 Lu 3.47, 4 Tm 3.48, 4 Ho 3.50
Tm  0.0000  0.0000  0.2482  4 Lu 3.47, 4 Tm 3.48, 4 Ho 3.50
Ho  0.5000  0.5000  0.5000  4 Ho 3.48, 8 Tm 3.50
Lu  0.5000  0.5000  0.0000  8 Tm 3.47, 4 Lu 3.48

The calculation puts the volume at 119.6 Å³ per cell. The calculation puts the density of states at the Fermi level at 5.304 states/eV/cell. As for the energy above the lowest structure with this stoichiometry: 0 meV/atom. Its density is 9.414 g cm⁻³. Its formation energy is 0.029 eV/atom.

=====

A geometry-optimized Mg6CdPd3 structure, computed with PBE.

a b c (Å): 6.2922 8.1940 8.1940
angles (deg): 106.81 90.00 90.00
Last column: nearest neighbours and their distance in Å.
Fractional positions:
Mg  0.7980  0.4557  0.0640  3 Pd 2.70-2.74, 1 Mg 2.93, 1 Cd 2.99
Mg  0.7980  0.9360  0.5443  3 Pd 2.70-2.74, 1 Mg 2.93, 1 Cd 2.99
Mg  0.2450  0.9676  0.0324  4 Pd 2.74
Mg  0.1246  0.3434  0.2936  4 Pd 2.70-2.78
Mg  0.6246  0.6566  0.7064  4 Pd 2.70-2.78
Mg  0.2980  0.5443  0.9360  3 Pd 2.70-2.74, 1 Mg 2.93, 1 Cd 2.99
Mg  0.7450  0.0324  0.9676  4 Pd 2.74
Mg  0.6246  0.2936  0.3434  4 Pd 2.70-2.78
Mg  0.6220  0.2682  0.7318  3 Pd 2.58-2.77
Mg  0.1220  0.7318  0.2682  3 Pd 2.58-2.77
Mg  0.1246  0.7064  0.6566  4 Pd 2.70-2.78
Mg  0.2980  0.0640  0.4557  3 Pd 2.70-2.74, 1 Mg 2.93, 1 Cd 2.99
Pd  0.9293  0.7276  0.9631  7 Mg 2.72-2.78, 1 Cd 2.88, 1 Pd 3.02
Pd  0.8277  0.5952  0.4048  7 Mg 2.58-2.74
Pd  0.9293  0.0369  0.2724  7 Mg 2.72-2.78, 1 Cd 2.88, 1 Pd 3.02
Pd  0.3277  0.4048  0.5952  7 Mg 2.58-2.74
Pd  0.4293  0.2724  0.0369  7 Mg 2.72-2.78, 1 Cd 2.88, 1 Pd 3.02
Pd  0.4293  0.9631  0.7276  7 Mg 2.72-2.78, 1 Cd 2.88, 1 Pd 3.02
Cd  0.5869  0.7942  0.2058  3 Pd 2.88-3.03, 6 Mg 2.99-3.14
Cd  0.0869  0.2058  0.7942  3 Pd 2.88-3.03, 6 Mg 2.99-3.14

The calculation puts the volume at 404.4 Å³ per cell. The calculation puts the density of states at the Fermi level at 7.664 states/eV/cell. Its density is 4.742 g cm⁻³. Its formation energy is -0.367 eV/atom.

=====

A geometry-optimized AcMgSi2Au6 structure, computed with PBE.

a b c (Å): 6.7113 6.7113 8.3193
angles (deg): 66.21 66.21 60.00
Last column: nearest neighbours and their distance in Å.
Fractional positions:
Au  0.4208  0.8724  0.1913  1 Si 2.34
Au  0.4846  0.5792  0.8087  1 Si 2.34
Au  0.8724  0.5154  0.1913  1 Si 2.34
Au  0.1276  0.4846  0.8087  1 Si 2.34
Au  0.5154  0.4208  0.1913  1 Si 2.34
Au  0.5792  0.1276  0.8087  1 Si 2.34
Si  0.2766  0.2766  0.1702  3 Au 2.34
Si  0.7234  0.7234  0.8298  3 Au 2.34
Mg  0.5000  0.5000  0.5000  6 Au 2.78
Ac  0.0000  0.0000  0.0000  6 Au 3.37

The calculation puts the volume at 287.2 Å³ per cell. The value obtained for the uncorrected formation energy is -1.76 eV/f.u. The calculation puts the density of states at the Fermi level at 2.846 states/eV/cell. Its density is 8.612 g cm⁻³.

=====

A geometry-optimized PrGdCdBi structure, computed with PBE.

a b c (Å): 5.5079 5.5079 5.5079
angles (deg): 60.00 60.00 60.00
Last column: nearest neighbours and their distance in Å.
Fractional positions:
Pr  0.0000  0.0000  0.0000  4 Cd 3.37, 4 Bi 3.37
Cd  0.7500  0.7500  0.7500  4 Gd 3.37, 4 Pr 3.37
Bi  0.2500  0.2500  0.2500  4 Gd 3.37, 4 Pr 3.37
Gd  0.5000  0.5000  0.5000  4 Cd 3.37, 4 Bi 3.37

The calculation puts the volume at 118.2 Å³ per cell. The calculation puts the density of states at the Fermi level at 4.408 states/eV/cell. Its density is 8.707 g cm⁻³. Its formation energy is -0.481 eV/atom.

=====

A geometry-optimized MnTcIr2 structure, computed with PBE.

a b c (Å): 4.6692 4.6692 2.7135
angles (deg): 90.00 90.00 109.10
Last column: nearest neighbours and their distance in Å.
Fractional positions:
Tc  0.0000  0.5000  0.5000  8 Ir 2.70, 2 Mn 2.71, 2 Tc 2.71
Ir  0.0000  0.0000  0.0000  4 Tc 2.70, 4 Mn 2.70, 4 Ir 2.71
Ir  0.5000  0.5000  0.0000  4 Mn 2.70, 4 Tc 2.70, 4 Ir 2.71
Mn  0.5000  0.0000  0.5000  8 Ir 2.70, 2 Tc 2.71, 2 Mn 2.71

The calculation puts the volume at 55.9 Å³ per cell. The calculation puts the density of states at the Fermi level at 2.754 states/eV/cell. As for the energy above the lowest structure with this stoichiometry: 9 meV/atom. Its density is 15.963 g cm⁻³. Its formation energy is -0.170 eV/atom.

=====

A geometry-optimized LiTm4Pd3 structure, computed with PBE.

a b c (Å): 4.9446 4.9446 7.7521
angles (deg): 108.64 108.60 90.00
Last column: nearest neighbours and their distance in Å.
Fractional positions:
Li  0.5000  0.0000  0.0000  8 Tm 3.04, 2 Pd 3.29
Pd  0.2624  0.7621  0.5248  8 Tm 2.90-3.10
Pd  0.7376  0.2379  0.4752  8 Tm 2.90-3.10
Pd  0.0000  0.5000  0.0000  8 Tm 3.04
Tm  0.3722  0.3721  0.7443  6 Pd 2.90-3.09, 2 Li 3.04
Tm  0.1278  0.1277  0.2557  6 Pd 2.90-3.10, 2 Li 3.04
Tm  0.6278  0.6279  0.2557  6 Pd 2.90-3.09, 2 Li 3.04
Tm  0.8722  0.8723  0.7443  6 Pd 2.90-3.10, 2 Li 3.04

The calculation puts the volume at 169.1 Å³ per cell. The calculation puts the density of states at the Fermi level at 5.139 states/eV/cell. Its density is 9.838 g cm⁻³. Its formation energy is -0.709 eV/atom.

=====

Please write out number 6 again, unchanged.
A geometry-optimized LiTm4Pd3 structure, computed with PBE.

a b c (Å): 4.9446 4.9446 7.7521
angles (deg): 108.64 108.60 90.00
Last column: nearest neighbours and their distance in Å.
Fractional positions:
Li  0.5000  0.0000  0.0000  8 Tm 3.04, 2 Pd 3.29
Pd  0.2624  0.7621  0.5248  8 Tm 2.90-3.10
Pd  0.7376  0.2379  0.4752  8 Tm 2.90-3.10
Pd  0.0000  0.5000  0.0000  8 Tm 3.04
Tm  0.3722  0.3721  0.7443  6 Pd 2.90-3.09, 2 Li 3.04
Tm  0.1278  0.1277  0.2557  6 Pd 2.90-3.10, 2 Li 3.04
Tm  0.6278  0.6279  0.2557  6 Pd 2.90-3.09, 2 Li 3.04
Tm  0.8722  0.8723  0.7443  6 Pd 2.90-3.10, 2 Li 3.04

The calculation puts the volume at 169.1 Å³ per cell. The calculation puts the density of states at the Fermi level at 5.139 states/eV/cell. Its density is 9.838 g cm⁻³. Its formation energy is -0.709 eV/atom.

=====

Q: Which of these has the lowest volume?
A: MnTcIr2